Record 1
VASP calculation (PBE with a Hubbard U) on a relaxed structure of Fe2PbIF.

Calculated values
For the density of states at the Fermi level, the calculation gives 0.1 states/eV/f.u. For the total energy, the calculation gives -3.68 eV per atom. The size of the total moment is 8.0 μB per cell.

```
Fe2PbIF
1.0
-4.180 3.513 0.078
-0.682 -0.709 -4.563
-3.422 -4.098 1.148
Pb I Fe F
1 1 2 1
Direct
0.000 0.000 0.000 Pb
0.500 0.500 0.500 I
0.000 0.000 0.500 Fe
0.500 0.000 0.000 Fe
0.000 0.500 0.000 F
```

=====

Record 2
VASP calculation (PBE with a Hubbard U) on a relaxed structure of Fe2PtIF.

Calculated values
For the density of states at the Fermi level, the calculation gives 0.0 states/eV/f.u. For the total energy, the calculation gives -3.28 eV per atom. The size of the total moment is 6.0 μB per cell.

```
Fe2PtIF
1.0
-0.661 1.147 5.040
-1.010 -4.694 0.936
5.056 -0.914 0.871
I Fe Pt F
1 2 1 1
Direct
0.000 0.000 0.000 I
0.000 0.000 0.500 Fe
0.500 0.000 0.000 Fe
0.000 0.500 0.000 Pt
0.500 0.500 0.500 F
```

=====

Record 3
VASP calculation (PBE with a Hubbard U) on a relaxed structure of Rb2FeI6F.

Calculated values
For the density of states at the Fermi level, the calculation gives 6.4 states/eV/f.u. For the total energy, the calculation gives -2.59 eV per atom. The size of the total moment is 3.3 μB per cell.

```
Rb2FeI6F
1.0
-7.481 1.476 1.385
-2.006 -6.118 -4.315
-4.526 -5.940 3.566
I Fe Rb F
6 1 2 1
Direct
0.225 0.225 0.550 I
0.775 0.775 0.450 I
0.252 0.252 0.000 I
0.748 0.748 0.000 I
0.748 0.252 0.000 I
0.252 0.748 0.000 I
0.000 0.000 0.000 Fe
0.750 0.250 0.500 Rb
0.250 0.750 0.500 Rb
0.500 0.500 0.000 F
```

=====

Record 4
VASP calculation (PBE with a Hubbard U) on a relaxed structure of RbFeI2F.

Calculated values
For the density of states at the Fermi level, the calculation gives 0.0 states/eV/f.u. For the total energy, the calculation gives -3.69 eV per atom. The size of the total moment is 4.0 μB per cell.

```
RbFeI2F
1.0
-0.985 4.166 4.247
-2.311 -4.235 3.618
3.745 -0.708 1.563
I Fe Rb F
2 1 1 1
Direct
0.000 0.500 0.000 I
0.500 0.000 0.000 I
0.000 0.000 0.000 Fe
0.500 0.500 0.500 Rb
0.000 0.000 0.500 F
```